The following is a GGA-PBE calculation of an optimized crystal structure of PmZnIrO6, from Alexandria.

Calculated values
space-group type: P-31c, No. 163
E_form (uncorrected): -1.48 eV per atom

```
PmZnIrO6
1.0
5.287 0.000 0.000
-2.644 4.579 0.000
0.000 0.000 9.940
Pm Zn Ir O
2 2 2 12
Direct
0.000 0.000 0.000
0.000 0.000 0.500
0.333 0.667 0.250
0.667 0.333 0.750
0.333 0.667 0.750
0.667 0.333 0.250
0.026 0.372 0.642
0.026 0.653 0.858
0.347 0.372 0.858
0.347 0.974 0.642
0.372 0.026 0.142
0.372 0.347 0.358
0.628 0.653 0.642
0.628 0.974 0.858
0.653 0.026 0.358
0.653 0.628 0.142
0.974 0.347 0.142
0.974 0.628 0.358
```

The following is a GGA-PBE calculation of an optimized crystal structure of Tb2GdPt, from Alexandria.

Calculated values
space-group type: R-3m, No. 166
ΔH_f (0 K): -0.493 eV/atom

```
Tb2GdPt
1.0
3.877 0.000 0.000
-1.938 3.358 0.000
0.000 0.000 28.148
Tb Gd Pt
6 3 3
Direct
0.000 0.000 0.227
0.000 0.000 0.773
0.333 0.667 0.439
0.333 0.667 0.894
0.667 0.333 0.106
0.667 0.333 0.561
0.000 0.000 0.000
0.333 0.667 0.667
0.667 0.333 0.333
0.000 0.000 0.500
0.333 0.667 0.167
0.667 0.333 0.833
```

The following is a GGA-PBE calculation of an optimized crystal structure of Mg2ReHgBi, from Alexandria.

Calculated values
space-group type: P4/mmm, No. 123
ΔH_f (0 K): 1.341 eV/atom

```
Mg2ReHgBi
1.0
5.057 0.000 0.000
0.000 5.057 0.000
0.000 0.000 5.730
Mg Re Hg Bi
2 1 1 1
Direct
0.000 0.500 0.000
0.500 0.000 0.000
0.000 0.000 0.500
0.500 0.500 0.000
0.500 0.500 0.500
```

The following is a GGA-PBE calculation of an optimized crystal structure of Y6CdNi2, from Alexandria.

Calculated values
space-group type: Immm, No. 71
ΔH_f (0 K): -0.294 eV/atom

```
Y6CdNi2
1.0
-4.686 4.867 5.058
4.686 -4.867 5.058
4.686 4.867 -5.058
Y Cd Ni
12 2 4
Direct
0.035 0.235 0.800
0.183 0.289 0.472
0.183 0.711 0.894
0.324 0.017 0.693
0.324 0.631 0.307
0.435 0.235 0.200
0.565 0.765 0.800
0.676 0.369 0.693
0.676 0.983 0.307
0.817 0.289 0.106
0.817 0.711 0.528
0.965 0.765 0.200
0.000 0.000 0.000
0.500 0.500 0.000
0.120 0.620 0.500
0.352 0.000 0.352
0.648 0.000 0.648
0.880 0.380 0.500
```

| no. | final energy (eV/atom) | M_tot (μB/atom) |
| --- | --- | --- |
| 1 | -6.439 | 0.07 |
| 2 | -7.839 | 2.01 |
| 3 | -2.623 | 0.77 |
| 4 | -5.990 | 0.00 |